No. 1
VASP calculation (GGA-PBE) on a relaxed structure of Pm2ZrScSb4.

The structure in CIF format:
```
data_Pm2ZrScSb4
_cell_length_a 7.4655
_cell_length_b 4.3136
_cell_length_c 7.4788
_cell_angle_alpha 90.00
_cell_angle_beta 109.38
_cell_angle_gamma 90.00
_space_group_name_H-M_alt 'P 1 2/m 1'
_space_group_IT_number 10
_space_group_name_Hall '-P 2y'
loop_
_atom_site_label
_atom_site_fract_x
_atom_site_fract_y
_atom_site_fract_z
Pm1 0.0000 0.0000 0.0000
Pm2 0.5000 0.5000 0.0000
Zr1 0.0000 0.5000 0.5000
Sc1 0.5000 0.0000 0.5000
Sb1 0.2433 0.0000 0.7286
Sb2 0.2575 0.5000 0.2723
```

Results
raw formation energy = -976 meV/atom
spin magnetization = 0.00 μB per formula unit
mass density = 6.7 Mg/m³

***

No. 2
VASP calculation (GGA-PBE) on a relaxed structure of Ca3Al4Cu4.

The structure in CIF format:
```
data_Ca3Al4Cu4
_cell_length_a 7.6519
_cell_length_b 7.6519
_cell_length_c 7.6519
_cell_angle_alpha 90.00
_cell_angle_beta 90.00
_cell_angle_gamma 90.00
_space_group_name_H-M_alt 'I -4 3 m'
_space_group_IT_number 217
_space_group_name_Hall 'I -4 2 3'
loop_
_atom_site_label
_atom_site_fract_x
_atom_site_fract_y
_atom_site_fract_z
Ca1 0.0000 0.0000 0.5000
Al1 0.1305 0.1305 0.1305
Cu1 0.1889 0.1889 0.8111
```

Results
spin magnetization = 0.00 μB per formula unit
formation enthalpy at 0 K = -0.2254 eV/atom
mass density = 3.6 Mg/m³